5
Lattice="4.129 0.000 0.000 0.000 5.358 0.000 0.000 0.000 5.358" Properties=species:S:1:pos:R:3 comment="SbIrI2F, optimized geometry, DFT PBEsol" raw_formation_energy_ev_per_atom=0.72 m_tot_mub_per_cell=0.00 pbc="T T T"
I 0.000 0.000 2.679
I 0.000 2.679 0.000
Sb 2.064 0.000 0.000
Ir 2.064 2.679 2.679
F 0.000 0.000 0.000



5
Lattice="-0.720 -2.441 3.539 -0.365 -3.541 -2.517 5.113 -0.850 0.455" Properties=species:S:1:pos:R:3 comment="KLiIF2, optimized geometry, DFT PBEsol" raw_formation_energy_ev_per_atom=-1.46 m_tot_mub_per_cell=1.03 pbc="T T T"
I 2.014 -3.416 0.738
K 2.557 -0.425 0.227
Li 0.000 0.000 0.000
F -0.182 -1.770 -1.258
F -0.360 -1.221 1.769



Repeat the first record exactly.
5
Lattice="4.129 0.000 0.000 0.000 5.358 0.000 0.000 0.000 5.358" Properties=species:S:1:pos:R:3 comment="SbIrI2F, optimized geometry, DFT PBEsol" raw_formation_energy_ev_per_atom=0.72 m_tot_mub_per_cell=0.00 pbc="T T T"
I 0.000 0.000 2.679
I 0.000 2.679 0.000
Sb 2.064 0.000 0.000
Ir 2.064 2.679 2.679
F 0.000 0.000 0.000



Number 1 is which compound?
SbIrI2F



Number 1 is which compound?
SbIrI2F